(1)
A geometry-optimized LaNi7B5 structure, computed with PBE.

```
LaNi7B5
1.0
-2.3635 4.1426 3.4283
2.3635 -4.1426 3.4283
2.3635 4.1426 -3.4283
La Ni B
1 7 5
direct
0.0000 0.0000 0.0000
0.1589 0.4411 0.7177
0.2232 0.7232 0.5000
0.3384 0.3384 0.0000
0.4064 0.0625 0.3439
0.6609 0.6609 0.0000
0.7186 0.0625 0.6561
0.7234 0.4411 0.2823
0.0124 0.5654 0.0881
0.0124 0.9243 0.4471
0.4772 0.5654 0.5529
0.4772 0.9243 0.9119
0.7835 0.2835 0.5000
```

Summary:
Theoretical density   7.47 Mg/m³
Energy of formation from the pure elements   -3 kJ/mol of atoms
E_tot   -6.09 eV/atom


(2)
A geometry-optimized Ce6Si3N structure, computed with PBE.

```
Ce6Si3N
1.0
5.2316 -3.1117 0.0000
5.2316 3.1117 0.0000
-1.2198 0.0000 6.8797
Ce Si N
6 3 1
direct
0.1072 0.6509 0.6269
0.3491 0.8928 0.3731
0.3630 0.3630 0.1302
0.6370 0.6370 0.8698
0.6509 0.1072 0.6269
0.8928 0.3491 0.3731
0.0000 0.0000 0.0000
0.1559 0.1559 0.7563
0.8441 0.8441 0.2437
0.5000 0.5000 0.5000
```

Summary:
Theoretical density   6.96 Mg/m³
Raw formation energy   -0.551 eV/atom
E_tot   -6.57 eV/atom


(3)
A geometry-optimized LiHfZr2 structure, computed with PBE.

```
LiHfZr2
1.0
-2.0530 2.0530 10.3332
2.0530 -2.0530 10.3332
2.0530 2.0530 -10.3332
Li Hf Zr
2 2 4
direct
0.0000 0.0000 0.0000
0.7500 0.2500 0.5000
0.2500 0.7500 0.5000
0.5000 0.5000 0.0000
0.1233 0.6250 0.9983
0.3750 0.3733 0.4983
0.6267 0.1250 0.0017
0.8750 0.8767 0.5017
```

Summary:
Theoretical density   7.01 Mg/m³
Energy of formation from the pure elements   57 kJ/mol of atoms
E_tot   -6.65 eV/atom
Distance to the lowest polymorph of the same formula   0.499 eV per atom


(4)
A geometry-optimized NdHo12Th7 structure, computed with PBE.

```
NdHo12Th7
1.0
5.9599 3.4410 5.3214
-5.9599 3.4410 5.3214
0.0000 -6.8819 5.3214
Nd Ho Th
1 12 7
direct
0.0000 0.0000 0.0000
0.1329 0.6230 0.4958
0.1429 0.2780 0.7403
0.2597 0.8571 0.7220
0.2780 0.7403 0.1429
0.3770 0.5042 0.8671
0.4958 0.1329 0.6230
0.5042 0.8671 0.3770
0.6230 0.4958 0.1329
0.7220 0.2597 0.8571
0.7403 0.1429 0.2780
0.8571 0.7220 0.2597
0.8671 0.3770 0.5042
0.0792 0.3937 0.1554
0.1554 0.0792 0.3937
0.3937 0.1554 0.0792
0.5000 0.5000 0.5000
0.6063 0.8446 0.9208
0.8446 0.9208 0.6063
0.9208 0.6063 0.8446
```

Summary:
Theoretical density   9.50 Mg/m³
Energy of formation from the pure elements   26 kJ/mol of atoms
E_tot   -5.31 eV/atom


Which value of E_tot does entry 1 give?
-6.09 eV/atom


Please write out number 2 again, unchanged.
A geometry-optimized Ce6Si3N structure, computed with PBE.

```
Ce6Si3N
1.0
5.2316 -3.1117 0.0000
5.2316 3.1117 0.0000
-1.2198 0.0000 6.8797
Ce Si N
6 3 1
direct
0.1072 0.6509 0.6269
0.3491 0.8928 0.3731
0.3630 0.3630 0.1302
0.6370 0.6370 0.8698
0.6509 0.1072 0.6269
0.8928 0.3491 0.3731
0.0000 0.0000 0.0000
0.1559 0.1559 0.7563
0.8441 0.8441 0.2437
0.5000 0.5000 0.5000
```

Summary:
Theoretical density   6.96 Mg/m³
Raw formation energy   -0.551 eV/atom
E_tot   -6.57 eV/atom


Copy entry 1 word for word.
A geometry-optimized LaNi7B5 structure, computed with PBE.

```
LaNi7B5
1.0
-2.3635 4.1426 3.4283
2.3635 -4.1426 3.4283
2.3635 4.1426 -3.4283
La Ni B
1 7 5
direct
0.0000 0.0000 0.0000
0.1589 0.4411 0.7177
0.2232 0.7232 0.5000
0.3384 0.3384 0.0000
0.4064 0.0625 0.3439
0.6609 0.6609 0.0000
0.7186 0.0625 0.6561
0.7234 0.4411 0.2823
0.0124 0.5654 0.0881
0.0124 0.9243 0.4471
0.4772 0.5654 0.5529
0.4772 0.9243 0.9119
0.7835 0.2835 0.5000
```

Summary:
Theoretical density   7.47 Mg/m³
Energy of formation from the pure elements   -3 kJ/mol of atoms
E_tot   -6.09 eV/atom


theoretical density of number 3 (LiHfZr2)?
7.01 Mg/m³